Entry 1:
Entry from Alexandria via LeMat-Bulk: an optimized crystal structure of Li4Er3AlS8 (PBE).

## Properties
The energy relative to the elements, uncorrected is -1658 meV/atom. The space group is R-3m, No. 166.

a b c (Å): 7.5885 7.5463 7.5876
angles (deg): 120.21 120.00 90.00
Positions (direct):
1 S 0.7643 0.2597 0.9952
2 S 0.2495 0.2486 0.4989
3 S 0.7641 0.2595 0.5283
4 S 0.2309 0.2597 0.9952
5 S 0.2359 0.7405 0.4717
6 S 0.2357 0.7403 0.0048
7 S 0.7505 0.7514 0.5011
8 S 0.7691 0.7403 0.0048
9 Al 0.0000 0.5000 0.0000
10 Er 0.0000 0.5000 0.5000
11 Er 0.5000 0.5000 0.0000
12 Er 0.5000 0.5000 0.5000
13 Li 0.5000 0.0000 0.0000
14 Li 0.0000 0.0000 0.0000
15 Li 0.5000 0.0000 0.5000
16 Li 0.0000 0.0000 0.5000


Entry 2:
Entry from Alexandria via LeMat-Bulk: an optimized crystal structure of PmYIn2 (PBE).

## Properties
As for the formation energy: -0.50 eV per atom. The space group is P4/mmm, No. 123.

a b c (Å): 3.8051 3.8051 7.6207
angles (deg): 90.00 90.00 90.00
Positions (direct):
1 Pm 0.5000 0.5000 0.0000
2 In 0.0000 0.0000 0.7410
3 In 0.0000 0.0000 0.2590
4 Y 0.5000 0.5000 0.5000


Entry 3:
Entry from Alexandria via LeMat-Bulk: an optimized crystal structure of AcTb3Sm8 (PBE).

## Properties
As for the formation energy: 0.04 eV per atom. The space group is P1, No. 1.

a b c (Å): 8.6650 8.6677 8.6520
angles (deg): 94.95 136.72 100.67
Positions (direct):
1 Ac 0.8347 0.0008 0.8341
2 Sm 0.8325 0.0851 0.2549
3 Sm 0.4987 0.6639 0.8347
4 Sm 0.5017 0.1702 0.3311
5 Sm 0.1681 0.9132 0.7478
6 Sm 0.1690 0.4207 0.2551
7 Sm 0.1626 0.8307 0.3315
8 Sm 0.1725 0.3380 0.8346
9 Sm 0.8334 0.5778 0.7482
10 Tb 0.4973 0.2518 0.7509
11 Tb 0.4976 0.7470 0.2461
12 Tb 0.8318 0.5007 0.3311


Entry 4:
Entry from Alexandria via LeMat-Bulk: an optimized crystal structure of GeAs2SeI (PBE).

## Properties
The energy relative to the elements, uncorrected is 1215 meV/atom. The energy above the most stable polymorph in this dataset comes out at 2.821 eV/f.u. The space group is P4/mmm, No. 123.

a b c (Å): 5.3815 5.3815 5.3073
angles (deg): 90.00 90.00 90.00
Positions (direct):
1 As 0.5000 0.0000 0.0000
2 As 0.0000 0.5000 0.0000
3 Se 0.0000 0.0000 0.5000
4 I 0.0000 0.0000 0.0000
5 Ge 0.5000 0.5000 0.5000


Entry 5:
Entry from Alexandria via LeMat-Bulk: an optimized crystal structure of FeHgBiPt (PBE).

## Properties
As for the formation energy: 0.14 eV per atom. The energy above the most stable polymorph in this dataset comes out at 0.097 eV/f.u. The space group is Imm2, No. 44.

a b c (Å): 3.2411 3.3152 16.0554
angles (deg): 90.00 90.00 90.00
Positions (direct):
1 Hg 0.0000 0.5000 0.6159
2 Hg 0.5000 0.0000 0.1159
3 Bi 0.5000 0.0000 0.3084
4 Bi 0.0000 0.5000 0.8084
5 Pt 0.5000 0.0000 0.5011
6 Pt 0.0000 0.5000 0.0011
7 Fe 0.5000 0.0000 0.9256
8 Fe 0.0000 0.5000 0.4256


Entry 6:
Entry from Alexandria via LeMat-Bulk: an optimized crystal structure of PmCo12B4 (PBE).

## Properties
As for the formation energy: 0.12 eV per atom. The space group is Im-3, No. 204.

a b c (Å): 6.2971 6.2971 6.2971
angles (deg): 109.47 109.47 109.47
Positions (direct):
1 Pm 0.0000 0.0000 0.0000
2 Co 0.8378 0.1824 0.6553
3 Co 0.6553 0.8378 0.1824
4 Co 0.8176 0.6553 0.4729
5 Co 0.1824 0.3447 0.5271
6 Co 0.1824 0.6553 0.8378
7 Co 0.8176 0.3447 0.1622
8 Co 0.6553 0.4729 0.8176
9 Co 0.5271 0.1824 0.3447
10 Co 0.4729 0.8176 0.6553
11 Co 0.3447 0.5271 0.1824
12 Co 0.3447 0.1622 0.8176
13 Co 0.1622 0.8176 0.3447
14 B 0.5000 0.0000 0.0000
15 B 0.0000 0.5000 0.0000
16 B 0.5000 0.5000 0.5000
17 B 0.0000 0.0000 0.5000


Entry 7:
Entry from Alexandria via LeMat-Bulk: an optimized crystal structure of YLuTe3 (PBE).

## Properties
The energy relative to the elements, uncorrected is -955 meV/atom. The energy above the most stable polymorph in this dataset comes out at 2.182 eV/f.u. The space group is R3m, No. 160.

a b c (Å): 5.9339 5.9339 5.9339
angles (deg): 85.82 85.82 85.82
Positions (direct):
1 Lu 0.6035 0.6035 0.6035
2 Te 0.6111 0.6111 0.1060
3 Te 0.1060 0.6111 0.6111
4 Te 0.6111 0.1060 0.6111
5 Y 0.9434 0.9434 0.9434


Entry 8:
Entry from Alexandria via LeMat-Bulk: an optimized crystal structure of Tb6Nd2Ho3In (PBE).

## Properties
As for the formation energy: -0.06 eV per atom. The space group is C2/m, No. 12.

a b c (Å): 6.1121 6.1121 11.7441
angles (deg): 94.98 94.98 120.04
Positions (direct):
1 Ho 0.8332 0.1668 0.5000
2 Ho 0.1668 0.8332 0.5000
3 Ho 0.5000 0.5000 0.5000
4 Tb 0.7567 0.7567 0.2516
5 Tb 0.0834 0.4104 0.2507
6 Tb 0.4104 0.0834 0.2507
7 Tb 0.5896 0.9166 0.7493
8 Tb 0.2433 0.2433 0.7484
9 Tb 0.9166 0.5896 0.7493
10 Nd 0.3338 0.6662 0.0000
11 Nd 0.6662 0.3338 0.0000
12 In 0.0000 0.0000 0.0000


Entry 9:
Entry from Alexandria via LeMat-Bulk: an optimized crystal structure of ErTmMgPa (PBE).

## Properties
As for the formation energy: 0.34 eV per atom. The space group is F-43m, No. 216.

a b c (Å): 5.3786 5.3786 5.3786
angles (deg): 60.00 60.00 60.00
Positions (direct):
1 Pa 0.7500 0.7500 0.7500
2 Er 0.0000 0.0000 0.0000
3 Mg 0.2500 0.2500 0.2500
4 Tm 0.5000 0.5000 0.5000


Entry 10:
Entry from Alexandria via LeMat-Bulk: an optimized crystal structure of Dy2Y5Pd4 (PBE).

## Properties
As for the formation energy: -0.61 eV per atom. The space group is C2/m, No. 12.

a b c (Å): 3.6773 8.2081 10.0724
angles (deg): 69.89 100.52 90.00
Positions (direct):
1 Pd 0.1153 0.7461 0.2307
2 Pd 0.9772 0.6993 0.9545
3 Pd 0.0228 0.3007 0.0455
4 Pd 0.8847 0.2539 0.7693
5 Y 0.1635 0.0536 0.3270
6 Y 0.8365 0.9464 0.6730
7 Y 0.2662 0.3202 0.5324
8 Y 0.5000 0.0000 0.0000
9 Y 0.7338 0.6798 0.4676
10 Dy 0.4095 0.5102 0.8191
11 Dy 0.5905 0.4898 0.1809


Entry 11:
Entry from Alexandria via LeMat-Bulk: an optimized crystal structure of SrTeS2 (PBE).

## Properties
The energy relative to the elements, uncorrected is -686 meV/atom. The space group is I-42d, No. 122.

a b c (Å): 5.6611 5.6611 9.0397
angles (deg): 71.75 71.75 90.00
Positions (direct):
1 Sr 0.5000 0.5000 0.0000
2 Sr 0.2500 0.7500 0.5000
3 S 0.0812 0.6250 0.2500
4 S 0.3750 0.3312 0.7500
5 S 0.6688 0.1250 0.2500
6 S 0.8750 0.9188 0.7500
7 Te 0.0000 0.0000 0.0000
8 Te 0.7500 0.2500 0.5000


Entry 12:
Entry from Alexandria via LeMat-Bulk: an optimized crystal structure of BaAuN2O (PBE).

## Properties
The energy relative to the elements, uncorrected is 1681 meV/atom. The space group is P4/mmm, No. 123.

a b c (Å): 5.4159 5.4159 4.6226
angles (deg): 90.00 90.00 90.00
Positions (direct):
1 N 0.5000 0.0000 0.0000
2 N 0.0000 0.5000 0.0000
3 Au 0.5000 0.5000 0.5000
4 Ba 0.0000 0.0000 0.0000
5 O 0.0000 0.0000 0.5000


Entry 13:
Entry from Alexandria via LeMat-Bulk: an optimized crystal structure of PmZrRhO6 (PBE).

## Properties
The energy relative to the elements, uncorrected is -2223 meV/atom. The space group is P-31c, No. 163.

a b c (Å): 5.3579 5.3579 10.1301
angles (deg): 90.00 90.00 120.00
Positions (direct):
1 O 0.0178 0.6523 0.8602
2 O 0.9822 0.6345 0.3602
3 O 0.3655 0.0178 0.1398
4 O 0.9822 0.3477 0.1398
5 O 0.3477 0.9822 0.6398
6 O 0.0178 0.3655 0.6398
7 O 0.6523 0.6345 0.1398
8 O 0.6345 0.6523 0.6398
9 O 0.3655 0.3477 0.3602
10 O 0.6523 0.0178 0.3602
11 O 0.3477 0.3655 0.8602
12 O 0.6345 0.9822 0.8602
13 Zr 0.6667 0.3333 0.7500
14 Zr 0.3333 0.6667 0.2500
15 Rh 0.6667 0.3333 0.2500
16 Rh 0.3333 0.6667 0.7500
17 Pm 0.0000 0.0000 0.0000
18 Pm 0.0000 0.0000 0.5000


Entry 14:
Entry from Alexandria via LeMat-Bulk: an optimized crystal structure of SrAg2PdCl6 (PBE).

## Properties
The energy relative to the elements, uncorrected is -1003 meV/atom. The space group is P1, No. 1.

a b c (Å): 7.6683 6.4675 8.4969
angles (deg): 63.27 50.50 60.82
Positions (direct):
1 Cl 0.1052 0.4550 0.7071
2 Cl 0.2652 0.9501 0.2600
3 Cl 0.6993 0.1233 0.7973
4 Cl 0.3676 0.6964 0.7993
5 Cl 0.6513 0.1600 0.2812
6 Cl 0.9381 0.5331 0.2704
7 Ag 0.9844 0.0574 0.9203
8 Ag 0.5142 0.5497 0.3994
9 Sr 0.8204 0.8140 0.5461
10 Pd 0.3159 0.3226 0.0341


Entry 15:
Entry from Alexandria via LeMat-Bulk: an optimized crystal structure of Na3TiPb2S6 (PBE).

## Properties
The energy relative to the elements, uncorrected is -928 meV/atom. The space group is C2/m, No. 12.

a b c (Å): 6.9016 6.9016 7.0108
angles (deg): 99.68 99.68 120.01
Positions (direct):
1 S 0.3677 0.0747 0.2237
2 S 0.6323 0.9253 0.7763
3 S 0.9253 0.6323 0.7763
4 S 0.2149 0.2149 0.7804
5 S 0.7851 0.7851 0.2196
6 S 0.0747 0.3677 0.2237
7 Na 0.5000 0.5000 0.5000
8 Na 0.1725 0.8275 0.5000
9 Na 0.8275 0.1725 0.5000
10 Pb 0.3343 0.6657 0.0000
11 Pb 0.6657 0.3343 0.0000
12 Ti 0.0000 0.0000 0.0000


Entry 16:
Entry from Alexandria via LeMat-Bulk: an optimized crystal structure of Nd6SmY5 (PBE).

## Properties
As for the formation energy: 0.01 eV per atom. The energy above the most stable polymorph in this dataset comes out at 0.058 eV/f.u. The space group is Immm, No. 71.

a b c (Å): 5.1561 10.2030 9.6003
angles (deg): 122.10 105.58 90.00
Positions (direct):
1 Nd 0.1666 0.9162 0.3331
2 Nd 0.5000 0.2505 0.0000
3 Nd 0.1666 0.4169 0.3331
4 Nd 0.8334 0.0838 0.6669
5 Nd 0.5000 0.7495 0.0000
6 Nd 0.8334 0.5831 0.6669
7 Y 0.6668 0.6668 0.3335
8 Y 0.6668 0.1668 0.3336
9 Y 0.0000 0.5000 0.0000
10 Y 0.3332 0.3332 0.6665
11 Y 0.3332 0.8332 0.6664
12 Sm 0.0000 0.0000 0.0000


Entry 17:
Entry from Alexandria via LeMat-Bulk: an optimized crystal structure of Nd3TeRuCl (PBE).

## Properties
The energy relative to the elements, uncorrected is -922 meV/atom. The space group is P2_1/m, No. 11.

a b c (Å): 4.3612 8.6998 9.4747
angles (deg): 104.39 90.00 90.00
Positions (direct):
1 Ru 0.2500 0.5947 0.1182
2 Ru 0.7500 0.4053 0.8818
3 Nd 0.7500 0.8144 0.1142
4 Nd 0.2500 0.5831 0.8163
5 Nd 0.7500 0.4169 0.1837
6 Nd 0.7500 0.2799 0.5427
7 Nd 0.2500 0.7201 0.4573
8 Nd 0.2500 0.1856 0.8858
9 Cl 0.7500 0.8999 0.4122
10 Cl 0.2500 0.1001 0.5878
11 Te 0.2500 0.1405 0.2187
12 Te 0.7500 0.8595 0.7813


Entry 18:
Entry from Alexandria via LeMat-Bulk: an optimized crystal structure of Sc3AgN (PBE).

## Properties
The energy relative to the elements, uncorrected is -800 meV/atom. The energy above the most stable polymorph in this dataset comes out at 0.594 eV/f.u. The space group is Cm, No. 8.

a b c (Å): 5.4961 6.3107 6.3427
angles (deg): 120.16 89.99 107.15
Positions (direct):
1 Sc 0.1079 0.4166 0.7876
2 Sc 0.6828 0.8545 0.9930
3 Sc 0.5599 0.3304 0.4921
4 Sc 0.2022 0.9371 0.7951
5 Sc 0.1081 0.4164 0.2824
6 Sc 0.6829 0.8546 0.5151
7 Ag 0.6363 0.3998 0.0267
8 Ag 0.1390 0.8814 0.2674
9 N 0.3927 0.6367 0.6451
10 N 0.9172 0.1228 0.8882


Entry 19:
Entry from Alexandria via LeMat-Bulk: an optimized crystal structure of BaYIn2Ru (PBE).

## Properties
As for the formation energy: -0.11 eV per atom. The space group is P4/mmm, No. 123.

a b c (Å): 5.7763 5.4256 5.7763
angles (deg): 90.00 90.00 90.00
Positions (direct):
1 Y 0.0000 0.5000 0.0000
2 In 0.5000 0.0000 0.0000
3 In 0.0000 0.0000 0.5000
4 Ba 0.5000 0.5000 0.5000
5 Ru 0.0000 0.0000 0.0000


Entry 20:
Entry from Alexandria via LeMat-Bulk: an optimized crystal structure of LiPrErFe (PBE).

## Properties
As for the formation energy: 0.14 eV per atom. The space group is F-43m, No. 216.

a b c (Å): 4.9581 4.9581 4.9581
angles (deg): 60.00 60.00 60.00
Positions (direct):
1 Fe 0.5000 0.5000 0.5000
2 Pr 0.2500 0.2500 0.2500
3 Li 0.0000 0.0000 0.0000
4 Er 0.7500 0.7500 0.7500


Entry 21:
Entry from Alexandria via LeMat-Bulk: an optimized crystal structure of Nd3Zn2Ni2 (PBE).

## Properties
As for the formation energy: -0.33 eV per atom. The space group is C2/m, No. 12.

a b c (Å): 3.9400 5.8305 7.8480
angles (deg): 108.88 90.00 109.75
Positions (direct):
1 Ni 0.1874 0.3747 0.9307
2 Ni 0.8126 0.6253 0.0693
3 Zn 0.0256 0.0511 0.3383
4 Zn 0.9744 0.9489 0.6617
5 Nd 0.3080 0.6161 0.3293
6 Nd 0.5000 0.0000 0.0000
7 Nd 0.6920 0.3839 0.6707


Entry 22:
Entry from Alexandria via LeMat-Bulk: an optimized crystal structure of RhPb2 (PBE).

## Properties
As for the formation energy: 0.04 eV per atom. The space group is P-3m1, No. 164.

a b c (Å): 3.5781 3.5781 6.5853
angles (deg): 90.00 90.00 120.00
Positions (direct):
1 Rh 0.0000 0.0000 0.0000
2 Pb 0.6667 0.3333 0.7149
3 Pb 0.3333 0.6667 0.2851


Entry 23:
Entry from Alexandria via LeMat-Bulk: an optimized crystal structure of BaNa2Zn9 (PBE).

## Properties
As for the formation energy: -0.09 eV per atom. The space group is R-3m, No. 166.

a b c (Å): 5.5714 5.5714 9.3822
angles (deg): 72.73 72.73 60.00
Positions (direct):
1 Zn 0.6661 0.6661 0.0017
2 Zn 0.4137 0.9185 0.2542
3 Zn 0.3339 0.3339 0.9983
4 Zn 0.5863 0.0815 0.7458
5 Zn 0.5000 0.5000 0.5000
6 Zn 0.0815 0.5863 0.7458
7 Zn 0.9185 0.4137 0.2542
8 Zn 0.5863 0.5863 0.7458
9 Zn 0.4137 0.4137 0.2542
10 Na 0.1452 0.1452 0.5645
11 Na 0.8548 0.8548 0.4355
12 Ba 0.0000 0.0000 0.0000